Record 1
# Hf2TaHPb, optimized geometry, DFT PBE-GGA
data_Hf2TaHPb
_space_group_name_H-M_alt 'P 1'
_space_group_IT_number 1
_cell_length_a 4.6503
_cell_length_b 4.6503
_cell_length_c 3.9585
_cell_angle_alpha 90.00
_cell_angle_beta 90.00
_cell_angle_gamma 90.00
loop_
_space_group_symop_operation_xyz
'x,y,z'
loop_
_atom_site_label
_atom_site_fract_x
_atom_site_fract_y
_atom_site_fract_z
Hf1 0.0000 0.5000 0.0000
Hf2 0.5000 0.0000 0.0000
Ta1 0.0000 0.0000 0.5000
H1 0.0000 0.0000 0.0000
Pb1 0.5000 0.5000 0.5000
# crystal system	tetragonal
# calculated total energy	-39.1	eV per cell

=====

Record 2
# Na2CuH6Pd, optimized geometry, DFT PBE-GGA
data_Na2CuH6Pd
_space_group_name_H-M_alt 'P 1'
_space_group_IT_number 1
_cell_length_a 5.0500
_cell_length_b 5.0500
_cell_length_c 5.0515
_cell_angle_alpha 120.10
_cell_angle_beta 120.10
_cell_angle_gamma 89.87
loop_
_space_group_symop_operation_xyz
'x,y,z'
loop_
_atom_site_label
_atom_site_fract_x
_atom_site_fract_y
_atom_site_fract_z
H1 0.2456 0.2461 0.9969
Pd1 0.9999 0.0004 0.9998
Cu1 0.4999 0.5004 0.9998
H2 0.7528 0.2475 0.9998
Na1 0.7498 0.2505 0.4998
H3 0.2493 0.2498 0.4995
H4 0.7504 0.7509 0.5000
Na2 0.2499 0.7503 0.4998
H5 0.7542 0.7547 0.0027
H6 0.2470 0.7533 0.9998
# crystal system	monoclinic
# calculated total energy	-33.7	eV per cell

=====

Record 3
# Li2Ca2Cd, optimized geometry, DFT PBE-GGA
data_Li2Ca2Cd
_space_group_name_H-M_alt 'P 1'
_space_group_IT_number 1
_cell_length_a 7.4633
_cell_length_b 7.4633
_cell_length_c 4.9905
_cell_angle_alpha 90.00
_cell_angle_beta 90.00
_cell_angle_gamma 90.00
loop_
_space_group_symop_operation_xyz
'x,y,z'
loop_
_atom_site_label
_atom_site_fract_x
_atom_site_fract_y
_atom_site_fract_z
Ca1 0.1836 0.6836 0.5000
Ca2 0.8164 0.3164 0.5000
Li1 0.1299 0.3701 0.0000
Li2 0.3701 0.8701 0.0000
Li3 0.6299 0.1299 0.0000
Ca3 0.3164 0.1836 0.5000
Cd1 0.0000 0.0000 0.0000
Cd2 0.5000 0.5000 0.0000
Ca4 0.6836 0.8164 0.5000
Li4 0.8701 0.6299 0.0000
# ΔE_f	-41	kJ/mol of formula units
# crystal system	tetragonal
# energy above the most stable polymorph in this dataset	64	meV per atom

=====

Record 4
# TmUC2, optimized geometry, DFT PBE-GGA
data_TmUC2
_space_group_name_H-M_alt 'P 1'
_space_group_IT_number 1
_cell_length_a 3.5134
_cell_length_b 3.5134
_cell_length_c 6.1292
_cell_angle_alpha 73.34
_cell_angle_beta 73.34
_cell_angle_gamma 60.00
loop_
_space_group_symop_operation_xyz
'x,y,z'
loop_
_atom_site_label
_atom_site_fract_x
_atom_site_fract_y
_atom_site_fract_z
C1 0.2627 0.2627 0.2120
U1 0.6676 0.6676 0.9971
Tm1 0.4950 0.4950 0.5151
C2 0.0747 0.0747 0.7758
# ΔE_f	-44	kJ/mol of formula units
# crystal system	trigonal
# energy above the most stable polymorph in this dataset	201	meV per atom

=====

Q: Which formula does entry 4 have?
A: TmUC2